YCoGeF2: relaxed, PBE with a Hubbard U.

* space group: No. 123
* uncorrected energy: -4.87 eV per atom
* N(E_F): 1.1 states/eV/cell

Lattice parameters (Å, degrees): 4.1448 4.1448 4.7600 90.00 90.00 90.00
Fractional coordinates of all 5 atoms:
Y 0.0000 0.0000 0.0000
Co 0.5000 0.5000 0.0000
Ge 0.5000 0.5000 0.5000
F 0.0000 0.5000 0.5000
F 0.5000 0.0000 0.5000